[1]
## Sm2Y2S3 (PBE)

Data for Sm2Y2S3 after structural relaxation.

Properties
Calculated volume   24.4 Å³/atom
Symmetry   C2/m
Crystal system   monoclinic
Energy relative to the elements, uncorrected   -1.7251 eV per atom

```
Sm2Y2S3
1.0
-2.614 0.535 2.844
3.057 -4.849 3.723
4.608 4.927 0.635
S Sm Y
3 2 2
Direct
0.000 0.000 0.000
0.750 0.243 0.500
0.250 0.757 0.500
0.125 0.379 0.250
0.875 0.621 0.750
0.627 0.882 0.255
0.373 0.118 0.745
```

=====

[2]
## SmYS2 (PBE)

Data for SmYS2 after structural relaxation.

Properties
Calculated volume   22.4 Å³/atom
Symmetry   R3m
Crystal system   trigonal
Energy relative to the elements, uncorrected   -1.9840 eV per atom

```
SmYS2
1.0
3.887 0.000 0.000
1.944 3.367 0.000
1.944 1.122 6.835
Sm Y S
1 1 2
Direct
0.494 0.494 0.517
0.672 0.672 0.983
0.079 0.079 0.762
0.254 0.254 0.239
```

=====

[3]
## SmY4S4 (PBE)

Data for SmY4S4 after structural relaxation.

Properties
Calculated volume   23.4 Å³/atom
Symmetry   I4/m
Crystal system   tetragonal
Energy relative to the elements, uncorrected   -1.7810 eV per atom

```
SmY4S4
1.0
-1.654 5.213 0.683
-3.128 1.148 5.896
4.610 3.989 2.957
S Y Sm
4 4 1
Direct
0.305 0.795 0.595
0.900 0.405 0.795
0.100 0.595 0.205
0.695 0.205 0.405
0.197 0.198 0.409
0.605 0.592 0.198
0.803 0.802 0.591
0.395 0.408 0.802
0.000 0.000 0.000
```

=====

[4]
## Sm2Y3S4 (PBE)

Data for Sm2Y3S4 after structural relaxation.

Properties
Calculated volume   23.7 Å³/atom
Symmetry   P-3m1
Crystal system   trigonal
Energy relative to the elements, uncorrected   -1.7782 eV per atom

```
Sm2Y3S4
1.0
3.919 0.000 0.003
-1.960 3.394 -0.003
-0.007 0.004 16.056
Sm S Y
2 4 3
Direct
0.333 0.667 0.207
0.667 0.333 0.793
0.667 0.333 0.099
0.333 0.667 0.901
0.000 0.000 0.311
0.000 0.000 0.689
0.000 0.000 0.000
0.666 0.334 0.409
0.334 0.666 0.591
```